No. 1
The following is a GGA-PBE calculation of Sc2ReTe after structural relaxation, from the Open Quantum Materials Database.

Computed properties:
- Crystal system: hexagonal
- E: -27.70 eV per cell
- Total moment: 0.101 μB/atom

Cell: 3.3359 3.3359 9.6006 Å, 90.00 90.00 120.00°
Space group P-6m2 (No. 187)
One atom of each set of equivalent atoms:
Sc 0.0000 0.0000 0.1973 x2
Re 0.6667 0.3333 0.0000 x1
Te 0.0000 0.0000 0.5000 x1



No. 2
The following is a GGA-PBE calculation of ScReTe after structural relaxation, from the Open Quantum Materials Database.

Computed properties:
- Crystal system: tetragonal
- Excess energy over the best structure of this formula in the dataset: 0 meV per atom
- Total moment: 0.000 μB/atom

Cell: 4.320 4.320 6.608 Å, 90.00 90.00 90.00°
Space group P4/nmm (No. 129, origin choice 2)
One atom of each set of equivalent atoms:
Sc 0.250 0.250 0.214 x2
Re 0.250 0.750 0.500 x2
Te 0.250 0.250 0.752 x2



No. 3
The following is a GGA-PBE calculation of ThScRe after structural relaxation, from the Open Quantum Materials Database.

Computed properties:
- Crystal system: cubic
- Excess energy over the best structure of this formula in the dataset: 0 meV per atom
- Energy of formation from the pure elements: 39.6 meV per atom
- Total moment: 0.000 μB/atom

Cell: 6.711 6.711 6.711 Å, 90.00 90.00 90.00°
Space group F-43m (No. 216)
One atom of each set of equivalent atoms:
Th 0.000 0.000 0.000 x4
Sc 0.000 0.000 0.500 x4
Re 0.250 0.250 0.250 x4



No. 4
The following is a GGA-PBE calculation of ScTlRe2 after structural relaxation, from the Open Quantum Materials Database.

Computed properties:
- Crystal system: cubic
- E: -126.59 eV per cell
- Total moment: 0.002 μB/atom

Cell: 6.541 6.541 6.541 Å, 90.00 90.00 90.00°
Space group F-43m (No. 216)
One atom of each set of equivalent atoms:
Sc 0.000 0.000 0.000 x4
Tl 0.250 0.250 0.750 x4
Re 0.000 0.000 0.500 x4
Re 0.250 0.250 0.250 x4



No. 5
The following is a GGA-PBE calculation of ScURe after structural relaxation, from the Open Quantum Materials Database.

Computed properties:
- Crystal system: cubic
- Excess energy over the best structure of this formula in the dataset: 0 meV per atom
- Energy of formation from the pure elements: 357.7 meV per atom
- Total moment: 0.613 μB/atom

Cell: 6.501 6.501 6.501 Å, 90.00 90.00 90.00°
Space group F-43m (No. 216)
One atom of each set of equivalent atoms:
Sc 0.000 0.000 0.000 x4
U 0.000 0.000 0.500 x4
Re 0.250 0.250 0.750 x4



No. 6
The following is a GGA-PBE calculation of ScURe after structural relaxation, from the Open Quantum Materials Database.

Computed properties:
- Crystal system: cubic
- Excess energy over the best structure of this formula in the dataset: 646 meV per atom
- Energy of formation from the pure elements: 1004.0 meV per atom
- Total moment: 0.504 μB/atom

Cell: 6.379 6.379 6.379 Å, 90.00 90.00 90.00°
Space group F-43m (No. 216)
One atom of each set of equivalent atoms:
Sc 0.000 0.000 0.000 x4
U 0.250 0.250 0.750 x4
Re 0.000 0.000 0.500 x4



No. 7
The following is a GGA-PBE calculation of ReSe2 after structural relaxation, from the Open Quantum Materials Database.

Computed properties:
- Crystal system: hexagonal
- E: -78.47 eV per cell
- Total moment: 0.160 μB/atom

Cell: 3.3124 3.3124 26.1986 Å, 90.00 90.00 120.00°
Space group P-6m2 (No. 187)
One atom of each set of equivalent atoms:
Re 0.0000 0.0000 0.0000 x1
Re 0.0000 0.0000 0.2509 x2
Re 0.3333 0.6667 0.5000 x1
Se 0.0000 0.0000 0.4365 x2
Se 0.3333 0.6667 0.0635 x2
Se 0.6667 0.3333 0.1875 x2
Se 0.6667 0.3333 0.3147 x2



No. 8
The following is a GGA-PBE calculation of ReSe2 after structural relaxation, from the Open Quantum Materials Database.

Computed properties:
- Crystal system: trigonal
- E: -58.86 eV per cell
- Total moment: 0.094 μB/atom

Cell: 3.2876 3.2876 19.8767 Å, 90.00 90.00 120.00°
Space group R3m (No. 160, hexagonal axes)
One atom of each set of equivalent atoms:
Re 0.0000 0.0000 0.0000 x3
Se 0.0000 0.0000 0.5818 x3
Se 0.0000 0.0000 0.7513 x3



No. 9
The following is a GGA-PBE calculation of ReSe after structural relaxation, from the Open Quantum Materials Database.

Computed properties:
- Crystal system: cubic
- Excess energy over the best structure of this formula in the dataset: 509 meV per atom
- Total moment: 0.869 μB/atom

Cell: 5.228 5.228 5.228 Å, 90.00 90.00 90.00°
Space group Fm-3m (No. 225)
One atom of each set of equivalent atoms:
Re 0.000 0.000 0.000 x4
Se 0.000 0.000 0.500 x4



No. 10
The following is a GGA-PBE calculation of ReSe2 after structural relaxation, from the Open Quantum Materials Database.

Computed properties:
- Crystal system: hexagonal
- E: -39.26 eV per cell
- Total moment: 0.114 μB/atom

Cell: 3.3021 3.3021 13.2291 Å, 90.00 90.00 120.00°
Space group P6_3/mmc (No. 194)
One atom of each set of equivalent atoms:
Re 0.3333 0.6667 0.2500 x2
Se 0.3333 0.6667 0.6237 x4



No. 11
The following is a GGA-PBE calculation of ReSe2 after structural relaxation, from the Open Quantum Materials Database.

Computed properties:
- Crystal system: orthorhombic
- E: -80.98 eV per cell
- Total moment: 0.001 μB/atom

Cell: 3.284 5.930 13.583 Å, 90.00 90.00 90.00°
Space group Pmn2_1 (No. 31)
One atom of each set of equivalent atoms:
Re 0.000 0.028 0.000 x2
Re 0.000 0.585 0.494 x2
Se 0.000 0.204 0.396 x2
Se 0.000 0.296 0.862 x2
Se 0.000 0.648 0.098 x2
Se 0.000 0.853 0.632 x2



No. 12
The following is a GGA-PBE calculation of ReSe after structural relaxation, from the Open Quantum Materials Database.

Computed properties:
- Crystal system: hexagonal
- Excess energy over the best structure of this formula in the dataset: 0 meV per atom
- Total moment: 0.002 μB/atom

Cell: 3.0877 3.0877 3.8655 Å, 90.00 90.00 120.00°
Space group P-6m2 (No. 187)
One atom of each set of equivalent atoms:
Re 0.0000 0.0000 0.0000 x1
Se 0.6667 0.3333 0.5000 x1